ZrTc2 | PBE-GGA | optimized geometry

ΔH_f (0 K)   1241.6 meV per atom
E above lowest polymorph   1.553 eV/atom
E   -102.22 eV per cell

Lattice parameters (Å, degrees): 6.2480 6.2480 6.2480 90.00 90.00 90.00
Last column: nearest neighbours and their distance in Å.
Fractional positions:
Zr  0.0000  0.0000  0.0000  6 Tc 2.63
Zr  0.0000  0.5000  0.5000  6 Tc 2.63
Zr  0.5000  0.0000  0.5000  6 Tc 2.63
Zr  0.5000  0.5000  0.0000  6 Tc 2.63
Tc  0.1074  0.6074  0.8926  1 Tc 2.32
Tc  0.1074  0.8926  0.3926  1 Tc 2.32
Tc  0.3926  0.1074  0.8926  1 Tc 2.32
Tc  0.3926  0.3926  0.3926  1 Tc 2.32
Tc  0.6074  0.6074  0.6074  1 Tc 2.32
Tc  0.6074  0.8926  0.1074  1 Tc 2.32
Tc  0.8926  0.1074  0.6074  1 Tc 2.32
Tc  0.8926  0.3926  0.1074  1 Tc 2.32